# 1
This record from Alexandria via LeMat-Bulk describes an optimized crystal structure of LiNiPO4. The functional is PBE+U.

Structure (POSCAR):
```
LiNiPO4
1.0
9.920 0.002 0.000
-0.001 7.028 0.000
0.000 0.000 4.929
O Li Ni P
16 4 4 4
direct
0.879 0.462 0.117
0.161 0.780 0.316
0.339 0.280 0.816
0.163 0.147 0.311
0.663 0.147 0.189
0.121 0.962 0.883
0.556 0.464 0.765
0.056 0.464 0.735
0.444 0.964 0.235
0.337 0.647 0.811
0.379 0.462 0.383
0.839 0.280 0.684
0.837 0.647 0.689
0.944 0.964 0.265
0.621 0.962 0.617
0.661 0.780 0.184
0.847 0.712 0.300
0.347 0.712 0.200
0.153 0.212 0.700
0.653 0.212 0.800
0.648 0.713 0.793
0.852 0.213 0.293
0.148 0.713 0.707
0.352 0.213 0.207
0.097 0.963 0.195
0.903 0.463 0.805
0.597 0.963 0.305
0.403 0.463 0.695
```

Values from the calculation:
- Crystal system: orthorhombic
- Electronic total energy: -174.7 eV/cell
- Energy above the lowest structure with this stoichiometry: 32 meV/atom
- DOS at the Fermi energy: 0.000 states/eV per atom

# 2
This record from Alexandria via LeMat-Bulk describes an optimized crystal structure of LiNi4P3O12. The functional is PBE+U.

Structure (POSCAR):
```
LiNi4P3O12
1.0
6.416 0.000 0.000
0.000 8.989 0.004
0.000 -0.077 14.560
O P Li Ni
48 12 4 16
direct
0.000 0.853 0.023
0.697 0.378 0.615
0.000 0.131 0.597
0.500 0.150 0.298
0.500 0.384 0.420
0.802 0.618 0.717
0.701 0.885 0.223
0.699 0.377 0.947
0.803 0.619 0.384
0.500 0.144 0.651
0.200 0.124 0.446
0.197 0.117 0.114
0.299 0.885 0.223
0.801 0.618 0.055
0.000 0.134 0.263
0.801 0.115 0.782
0.198 0.618 0.717
0.701 0.382 0.273
0.500 0.145 0.993
0.000 0.353 0.803
0.700 0.878 0.554
0.298 0.875 0.887
0.500 0.877 0.076
0.500 0.865 0.401
0.000 0.853 0.689
0.199 0.618 0.055
0.800 0.124 0.446
0.000 0.634 0.568
0.301 0.377 0.947
0.500 0.366 0.098
0.303 0.378 0.615
0.500 0.652 0.202
0.000 0.355 0.495
0.300 0.878 0.554
0.000 0.643 0.234
0.702 0.875 0.887
0.000 0.855 0.359
0.500 0.646 0.511
0.197 0.619 0.384
0.000 0.148 0.931
0.000 0.625 0.905
0.500 0.866 0.737
0.000 0.353 0.133
0.500 0.645 0.847
0.803 0.117 0.114
0.199 0.115 0.782
0.500 0.379 0.764
0.299 0.382 0.273
0.500 0.328 0.318
0.000 0.680 0.672
0.500 0.826 0.178
0.500 0.825 0.508
0.000 0.181 0.162
0.500 0.320 0.994
0.000 0.676 0.010
0.000 0.683 0.338
0.500 0.820 0.842
0.000 0.175 0.822
0.000 0.177 0.490
0.500 0.314 0.664
0.000 0.844 0.509
0.000 0.834 0.839
0.000 0.846 0.174
0.500 0.655 0.689
0.752 0.508 0.168
0.248 0.508 0.168
0.000 0.346 0.646
0.000 0.356 0.988
0.743 0.501 0.831
0.257 0.501 0.831
0.500 0.149 0.149
0.500 0.647 0.353
0.249 0.010 0.335
0.749 0.992 0.999
0.747 0.492 0.497
0.258 0.999 0.670
0.251 0.992 0.999
0.253 0.492 0.497
0.742 0.999 0.670
0.751 0.010 0.335
```

Values from the calculation:
- Crystal system: monoclinic
- Electronic total energy: -496.9 eV/cell
- Energy above the lowest structure with this stoichiometry: 27 meV/atom
- DOS at the Fermi energy: 0.000 states/eV per atom

# 3
This record from Alexandria via LeMat-Bulk describes an optimized crystal structure of LiNiPO4. The functional is PBE+U.

Structure (POSCAR):
```
LiNiPO4
1.0
-0.993 -0.510 -4.779
5.690 -5.575 -0.586
-6.005 -6.331 1.924
Li O P Ni
4 16 4 4
direct
0.930 0.053 0.890
0.930 0.553 0.610
0.430 0.447 0.390
0.430 0.947 0.110
0.172 0.281 0.306
0.705 0.359 0.545
0.672 0.719 0.694
0.705 0.859 0.955
0.752 0.761 0.360
0.752 0.261 0.140
0.671 0.556 0.930
0.671 0.056 0.570
0.172 0.781 0.194
0.205 0.141 0.045
0.672 0.219 0.806
0.171 0.944 0.430
0.171 0.444 0.070
0.205 0.641 0.455
0.252 0.739 0.860
0.252 0.239 0.640
0.563 0.221 0.644
0.063 0.279 0.144
0.063 0.779 0.356
0.563 0.721 0.856
0.999 0.165 0.475
0.999 0.665 0.025
0.499 0.335 0.975
0.499 0.835 0.525
```

Values from the calculation:
- Crystal system: orthorhombic
- Electronic total energy: -174.0 eV/cell
- Energy above the lowest structure with this stoichiometry: 57 meV/atom
- DOS at the Fermi energy: 0.000 states/eV per atom

# 4
This record from Alexandria via LeMat-Bulk describes an optimized crystal structure of Li3NiP2O8. The functional is PBE+U.

Structure (POSCAR):
```
Li3NiP2O8
1.0
-2.545 0.199 -4.242
1.306 -3.481 -3.269
-4.285 -3.849 2.406
O Li P Ni
8 3 2 1
direct
0.753 0.753 0.554
0.199 0.737 0.762
0.745 0.745 0.960
0.247 0.247 0.446
0.255 0.255 0.040
0.263 0.801 0.238
0.737 0.199 0.762
0.801 0.263 0.238
0.172 0.172 0.741
0.500 0.500 0.500
0.828 0.828 0.259
0.145 0.145 0.240
0.855 0.855 0.760
0.500 0.500 0.000
```

Values from the calculation:
- Crystal system: monoclinic
- Electronic total energy: -87.2 eV/cell
- Energy above the lowest structure with this stoichiometry: 0 meV/atom
- DOS at the Fermi energy: 0.443 states/eV per atom

# 5
This record from Alexandria via LeMat-Bulk describes an optimized crystal structure of LiNi4P3O12. The functional is PBE+U.

Structure (POSCAR):
```
LiNi4P3O12
1.0
6.613 0.000 0.000
0.000 6.613 0.000
-3.306 -3.306 9.248
Ni O P Li
8 24 6 2
direct
0.977 0.477 0.955
0.625 0.620 0.750
0.380 0.875 0.250
0.273 0.273 0.545
0.523 0.023 0.045
0.125 0.130 0.750
0.727 0.727 0.455
0.870 0.375 0.250
0.190 0.976 0.382
0.876 0.704 0.292
0.412 0.124 0.708
0.838 0.166 0.792
0.491 0.738 0.086
0.374 0.162 0.208
0.594 0.810 0.618
0.652 0.509 0.914
0.595 0.348 0.086
0.226 0.940 0.882
0.192 0.406 0.382
0.655 0.012 0.414
0.988 0.241 0.586
0.656 0.942 0.882
0.598 0.345 0.586
0.954 0.626 0.792
0.759 0.402 0.414
0.416 0.588 0.292
0.296 0.584 0.708
0.058 0.774 0.118
0.262 0.405 0.914
0.060 0.344 0.118
0.024 0.808 0.618
0.834 0.046 0.208
0.274 0.375 0.250
0.500 0.500 0.000
0.125 0.726 0.750
0.750 0.250 0.500
0.976 0.875 0.250
0.625 0.024 0.750
0.000 0.000 0.000
0.250 0.750 0.500
```

Values from the calculation:
- Crystal system: tetragonal
- Electronic total energy: -249.5 eV/cell
- Energy above the lowest structure with this stoichiometry: 0 meV/atom
- DOS at the Fermi energy: 0.000 states/eV per atom

# 6
This record from Alexandria via LeMat-Bulk describes an optimized crystal structure of LiNiPO4. The functional is PBE+U.

Structure (POSCAR):
```
LiNiPO4
1.0
-4.067 2.990 1.469
1.069 -3.048 7.963
5.384 5.433 -0.347
O Li P Ni
16 4 4 4
direct
0.352 0.977 0.809
0.518 0.188 0.651
0.717 0.564 0.794
0.242 0.475 0.313
0.590 0.903 0.540
0.231 0.027 0.197
0.841 0.042 0.836
0.654 0.563 0.220
0.382 0.318 0.028
0.161 0.660 0.977
0.987 0.094 0.463
0.114 0.422 0.710
0.742 0.946 0.168
0.084 0.813 0.354
0.638 0.310 0.337
0.058 0.693 0.652
0.166 0.123 0.980
0.418 0.852 0.016
0.014 0.335 0.452
0.356 0.695 0.497
0.483 0.414 0.224
0.008 0.586 0.782
0.010 0.968 0.286
0.574 0.031 0.719
0.997 0.604 0.176
0.000 0.912 0.626
0.578 0.090 0.378
0.471 0.394 0.814
```

Values from the calculation:
- Crystal system: triclinic
- Electronic total energy: -173.9 eV/cell
- Energy above the lowest structure with this stoichiometry: 61 meV/atom
- DOS at the Fermi energy: 0.000 states/eV per atom

# 7
This record from Alexandria via LeMat-Bulk describes an optimized crystal structure of Li2NiP5O15. The functional is PBE+U.

Structure (POSCAR):
```
Li2NiP5O15
1.0
9.260 0.000 0.000
0.000 5.114 0.017
0.000 4.452 12.409
O P Li Ni
30 10 4 2
direct
0.610 0.243 0.659
0.561 0.502 0.250
0.130 0.708 0.994
0.870 0.708 0.494
0.103 0.740 0.795
0.486 0.734 0.060
0.180 0.728 0.557
0.491 0.269 0.440
0.657 0.701 0.379
0.083 0.965 0.154
0.392 0.758 0.342
0.897 0.270 0.201
0.866 0.302 0.002
0.177 0.282 0.939
0.514 0.734 0.560
0.084 0.047 0.341
0.820 0.728 0.057
0.134 0.302 0.502
0.608 0.758 0.842
0.390 0.243 0.159
0.439 0.502 0.750
0.897 0.740 0.295
0.509 0.269 0.940
0.823 0.282 0.439
0.103 0.270 0.701
0.655 0.307 0.119
0.345 0.307 0.619
0.916 0.047 0.841
0.917 0.965 0.654
0.343 0.701 0.879
0.513 0.553 0.357
0.487 0.553 0.857
0.005 0.006 0.248
0.511 0.450 0.142
0.182 0.416 0.587
0.820 0.594 0.409
0.180 0.594 0.909
0.489 0.450 0.642
0.995 0.006 0.748
0.818 0.416 0.087
0.349 0.955 0.450
0.658 0.048 0.552
0.651 0.955 0.950
0.342 0.048 0.052
0.001 0.006 0.498
0.999 0.006 0.998
```

Values from the calculation:
- Crystal system: monoclinic
- Electronic total energy: -307.7 eV/cell
- Energy above the lowest structure with this stoichiometry: 0 meV/atom
- DOS at the Fermi energy: 0.231 states/eV per atom

# 8
This record from Alexandria via LeMat-Bulk describes an optimized crystal structure of LiNiPO4. The functional is PBE+U.

Structure (POSCAR):
```
LiNiPO4
1.0
8.318 0.000 0.000
0.000 4.908 0.107
0.000 4.957 9.105
Ni O Li P
4 16 4 4
direct
0.351 0.210 0.415
0.149 0.210 0.915
0.649 0.790 0.585
0.851 0.790 0.085
0.346 0.913 0.937
0.084 0.737 0.052
0.416 0.737 0.552
0.659 0.436 0.789
0.229 0.320 0.552
0.729 0.680 0.948
0.846 0.087 0.563
0.584 0.263 0.448
0.271 0.320 0.052
0.154 0.913 0.437
0.841 0.436 0.289
0.341 0.564 0.211
0.771 0.680 0.448
0.654 0.087 0.063
0.916 0.263 0.948
0.159 0.564 0.711
0.064 0.993 0.624
0.936 0.007 0.376
0.564 0.007 0.876
0.436 0.993 0.124
0.740 0.382 0.935
0.240 0.618 0.565
0.760 0.382 0.435
0.260 0.618 0.065
```

Values from the calculation:
- Crystal system: monoclinic
- Electronic total energy: -173.8 eV/cell
- Energy above the lowest structure with this stoichiometry: 66 meV/atom
- DOS at the Fermi energy: 0.000 states/eV per atom

# 9
This record from Alexandria via LeMat-Bulk describes an optimized crystal structure of Li2Ni5P4O16. The functional is PBE+U.

Structure (POSCAR):
```
Li2Ni5P4O16
1.0
-6.317 -0.053 1.420
1.183 -3.928 -7.441
2.099 -3.872 4.851
O Ni P Li
16 5 4 2
direct
0.243 0.488 0.444
0.757 0.512 0.556
0.685 0.757 0.843
0.815 0.185 0.585
0.056 0.000 0.714
0.535 0.000 0.214
0.755 0.512 0.955
0.630 0.815 0.400
0.928 0.243 0.086
0.465 0.000 0.786
0.944 0.000 0.286
0.245 0.488 0.045
0.370 0.185 0.600
0.315 0.243 0.157
0.072 0.757 0.914
0.185 0.815 0.415
0.306 0.751 0.143
0.444 0.751 0.608
0.000 0.000 0.000
0.556 0.249 0.392
0.694 0.249 0.857
0.741 0.000 0.376
0.187 0.375 0.187
0.813 0.625 0.813
0.259 0.000 0.624
0.165 0.331 0.665
0.835 0.669 0.335
```

Values from the calculation:
- Crystal system: triclinic
- Electronic total energy: -167.2 eV/cell
- DOS at the Fermi energy: 0.000 states/eV per atom

# 10
This record from Alexandria via LeMat-Bulk describes an optimized crystal structure of Li6Ni3SbP6O24. The functional is PBE+U.

Structure (POSCAR):
```
Li6Ni3SbP6O24
1.0
9.068 0.365 0.277
4.767 7.647 0.298
4.821 2.785 7.193
O Li P Ni Sb
24 6 6 3 1
direct
0.817 0.598 0.004
0.121 0.892 0.252
0.396 0.004 0.183
0.522 0.816 0.448
0.755 0.471 0.858
0.879 0.245 0.119
0.967 0.204 0.390
0.180 0.543 0.484
0.192 0.540 0.155
0.612 0.986 0.810
0.847 0.787 0.459
0.258 0.131 0.881
0.558 0.145 0.206
0.496 0.190 0.537
0.856 0.114 0.750
0.188 0.400 0.980
0.827 0.454 0.522
0.114 0.758 0.857
0.540 0.486 0.195
0.450 0.518 0.825
0.756 0.857 0.111
0.159 0.190 0.527
0.009 0.808 0.605
0.451 0.866 0.759
0.443 0.468 0.459
0.065 0.029 0.017
0.654 0.288 0.914
0.719 0.087 0.342
0.289 0.914 0.643
0.913 0.654 0.289
0.543 0.962 0.242
0.042 0.752 0.450
0.453 0.043 0.746
0.241 0.542 0.961
0.960 0.245 0.535
0.743 0.453 0.043
0.145 0.152 0.146
0.337 0.352 0.343
0.648 0.656 0.652
0.854 0.847 0.851
```

Values from the calculation:
- Crystal system: triclinic
- Electronic total energy: -254.0 eV/cell
- DOS at the Fermi energy: 0.222 states/eV per atom